VASP calculation (GGA+U) on crystalline BaPmFeO4 at its relaxed geometry.

Fermi-level density of states in states/eV per cell: 0.00
E_tot in eV for the cell shown: -98.78
Symmetry: P2_1/m (11)

The structure in extended XYZ format:
```
14
Lattice="-3.9290 2.3990 -3.7213 0.7474 -4.5821 -3.7430 -3.5638 -4.3701 4.6381" Properties=species:S:1:pos:R:3 pbc="T T T"
O -4.8947 -3.4792 0.9064
O -3.3888 -1.7419 -0.9197
O -1.8506 -3.0739 -3.7326
O -0.4355 -5.7385 -2.4285
O -0.7879 -3.5777 -0.6633
O -6.3099 -0.8146 -0.3977
O -3.3565 -4.8112 -1.9065
O -5.9574 -2.9754 -2.1629
Pm -2.4998 -3.0408 0.8479
Pm -4.2456 -3.5123 -3.6741
Ba -1.1820 -0.7521 -1.6907
Ba -5.5633 -5.8010 -1.1355
Fe -5.1268 -2.3146 -0.5656
Fe -1.6185 -4.2385 -2.2606
```